Entry 1:
Entry from Alexandria: a relaxed CsBr2 crystal (PBE).

a b c (Å): 5.087 5.114 11.466
angles (deg): 95.03 102.72 90.08
Fractional coordinates of all 6 atoms:
Cs  0.858  0.268  0.201
Cs  0.142  0.732  0.799
Br  0.675  0.251  0.868
Br  0.325  0.749  0.132
Br  0.450  0.916  0.391
Br  0.550  0.084  0.609

Crystal system   triclinic

---

Entry 2:
Entry from Alexandria: a relaxed CsCu4Br8 crystal (PBE).

a b c (Å): 7.560 7.560 9.833
angles (deg): 67.39 67.39 60.00
Fractional coordinates of all 13 atoms:
Cs  0.500  0.500  0.500
Cu  0.000  0.500  0.000
Cu  0.500  0.500  0.000
Cu  0.500  0.000  0.000
Cu  0.000  0.000  0.000
Br  0.724  0.221  0.835
Br  0.779  0.276  0.165
Br  0.276  0.779  0.165
Br  0.779  0.779  0.165
Br  0.720  0.720  0.841
Br  0.280  0.280  0.159
Br  0.221  0.221  0.835
Br  0.221  0.724  0.835

Crystal system   trigonal

---

Entry 3:
Entry from Alexandria: a relaxed Cs3Cu2Br7 crystal (PBE).

a b c (Å): 5.341 5.341 14.473
angles (deg): 100.63 100.63 90.00
Fractional coordinates of all 12 atoms:
Cs  0.319  0.319  0.638
Cs  0.681  0.681  0.362
Cs  0.500  0.500  0.000
Cu  0.093  0.093  0.186
Cu  0.907  0.907  0.814
Br  0.000  0.000  0.000
Br  0.909  0.409  0.818
Br  0.409  0.909  0.818
Br  0.091  0.591  0.182
Br  0.591  0.091  0.182
Br  0.184  0.184  0.369
Br  0.816  0.816  0.631

Crystal system   tetragonal

---

Entry 4:
Entry from Alexandria: a relaxed Cs4Cu3Br12 crystal (PBE).

a b c (Å): 10.669 10.669 10.669
angles (deg): 109.47 109.47 109.47
Fractional coordinates of all 19 atoms:
Cs  0.500  0.500  0.500
Cs  0.500  0.000  0.000
Cs  0.000  0.000  0.500
Cs  0.000  0.500  0.000
Cu  0.500  0.500  0.000
Cu  0.000  0.500  0.500
Cu  0.500  0.000  0.500
Br  0.136  0.636  0.772
Br  0.864  0.364  0.228
Br  0.136  0.364  0.499
Br  0.364  0.228  0.864
Br  0.772  0.136  0.636
Br  0.501  0.864  0.636
Br  0.636  0.501  0.864
Br  0.228  0.864  0.364
Br  0.864  0.636  0.501
Br  0.636  0.772  0.136
Br  0.499  0.136  0.364
Br  0.364  0.499  0.136

Crystal system   cubic

---

Entry 5:
Entry from Alexandria: a relaxed Cs3CuBr4 crystal (PBE).

a b c (Å): 5.236 10.948 13.918
angles (deg): 90.00 90.00 90.00
Fractional coordinates of all 16 atoms:
Cs  0.595  0.122  0.000
Cs  0.030  0.663  0.165
Cs  0.530  0.337  0.335
Cs  0.095  0.878  0.500
Cs  0.530  0.337  0.665
Cs  0.030  0.663  0.835
Br  0.087  0.904  0.000
Br  0.504  0.540  0.000
Br  0.046  0.306  0.152
Br  0.546  0.694  0.348
Br  0.004  0.460  0.500
Br  0.587  0.096  0.500
Br  0.546  0.694  0.652
Br  0.046  0.306  0.848
Cu  0.178  0.385  0.000
Cu  0.678  0.615  0.500

Crystal system   orthorhombic

---

Entry 6:
Entry from Alexandria: a relaxed Cs2CuBr5 crystal (PBE).

a b c (Å): 7.507 7.507 7.507
angles (deg): 94.43 117.48 117.48
Fractional coordinates of all 8 atoms:
Cs  0.500  0.263  0.763
Cs  0.500  0.763  0.263
Cu  0.000  0.985  0.985
Br  0.567  0.799  0.799
Br  0.000  0.232  0.799
Br  0.000  0.799  0.232
Br  0.433  0.232  0.232
Br  0.000  0.704  0.704

Crystal system   tetragonal

---

Entry 7:
Entry from Alexandria: a relaxed Cs4Cu3Br10 crystal (PBE).

a b c (Å): 5.302 5.302 19.694
angles (deg): 97.74 97.74 90.00
Fractional coordinates of all 17 atoms:
Cs  0.567  0.567  0.134
Cs  0.433  0.433  0.866
Cs  0.300  0.300  0.600
Cs  0.700  0.700  0.400
Cu  0.136  0.136  0.272
Cu  0.864  0.864  0.728
Cu  0.000  0.000  0.000
Br  0.134  0.634  0.269
Br  0.067  0.067  0.135
Br  0.634  0.134  0.269
Br  0.866  0.366  0.731
Br  0.366  0.866  0.731
Br  0.933  0.933  0.865
Br  0.203  0.203  0.405
Br  0.797  0.797  0.595
Br  0.000  0.500  0.000
Br  0.500  0.000  0.000

Crystal system   tetragonal

---

Entry 8:
Entry from Alexandria: a relaxed CsCu2Br crystal (PBE).

a b c (Å): 5.371 5.371 5.371
angles (deg): 60.00 60.00 60.00
Fractional coordinates of all 4 atoms:
Cs  0.500  0.500  0.500
Cu  0.250  0.250  0.250
Cu  0.750  0.750  0.750
Br  0.000  0.000  0.000

Crystal system   cubic

---

Entry 9:
Entry from Alexandria: a relaxed CsCuBr3 crystal (PBE).

a b c (Å): 7.622 7.622 13.132
angles (deg): 90.00 90.00 118.10
Fractional coordinates of all 20 atoms:
Cs  0.022  0.022  0.000
Cs  0.978  0.978  0.500
Cs  0.682  0.318  0.750
Cs  0.318  0.682  0.250
Br  0.920  0.460  0.485
Br  0.080  0.540  0.985
Br  0.485  0.485  0.500
Br  0.515  0.515  0.000
Br  0.793  0.207  0.250
Br  0.207  0.793  0.750
Br  0.327  0.188  0.287
Br  0.673  0.812  0.787
Br  0.188  0.327  0.713
Br  0.812  0.673  0.213
Br  0.460  0.920  0.515
Br  0.540  0.080  0.015
Cu  0.666  0.367  0.121
Cu  0.334  0.633  0.621
Cu  0.367  0.666  0.879
Cu  0.633  0.334  0.379

Crystal system   orthorhombic

---

Entry 10:
Entry from Alexandria: a relaxed CsCu3Br6 crystal (PBE).

a b c (Å): 10.338 10.456 10.456
angles (deg): 65.27 60.37 60.37
Fractional coordinates of all 20 atoms:
Cs  0.000  0.750  0.250
Cs  0.000  0.250  0.750
Cu  0.500  0.250  0.750
Cu  0.500  0.750  0.250
Cu  0.600  0.808  0.808
Cu  0.783  0.308  0.308
Cu  0.400  0.192  0.192
Cu  0.217  0.692  0.692
Br  0.558  0.266  0.938
Br  0.841  0.665  0.665
Br  0.829  0.165  0.165
Br  0.159  0.335  0.335
Br  0.762  0.234  0.562
Br  0.442  0.062  0.734
Br  0.238  0.766  0.438
Br  0.558  0.938  0.266
Br  0.442  0.734  0.062
Br  0.762  0.562  0.234
Br  0.171  0.835  0.835
Br  0.238  0.438  0.766

Crystal system   orthorhombic

---

Entry 11:
Entry from Alexandria: a relaxed Cs3CuBr4 crystal (PBE).

a b c (Å): 7.485 7.485 7.485
angles (deg): 109.47 109.47 109.47
Fractional coordinates of all 8 atoms:
Cs  0.500  0.500  0.000
Cs  0.000  0.500  0.500
Cs  0.500  0.000  0.500
Cu  0.000  0.000  0.000
Br  0.660  0.000  0.000
Br  0.000  0.000  0.660
Br  0.340  0.340  0.340
Br  0.000  0.660  0.000

Crystal system   cubic

---

Entry 12:
Entry from Alexandria: a relaxed CsCuBr3 crystal (PBE).

a b c (Å): 4.980 4.980 7.598
angles (deg): 109.13 109.13 90.00
Fractional coordinates of all 5 atoms:
Cs  0.989  0.989  0.979
Cu  0.673  0.673  0.345
Br  0.219  0.719  0.439
Br  0.719  0.219  0.439
Br  0.490  0.490  0.979

Crystal system   tetragonal

---

no.,V (A^3/atom),M_tot (μB/f.u.),ΔE_f (raw) (eV per formula unit)
1,48.29,0.00,-3.7
2,33.55,3.07,-6.1
3,33.21,0.00,-12.4
4,49.20,0.99,-16.1
5,49.87,0.13,-11.0
6,38.69,0.00,-8.1
7,31.97,0.00,-16.7
8,27.38,0.00,2.4
9,33.65,0.00,-4.6
10,41.55,0.86,-5.7
11,40.35,0.17,-10.7
12,33.39,0.00,-4.2